(1)
A relaxed Pm3CoTe crystal. Source: Alexandria via LeMat-Bulk, functional PBE.

DOS at the Fermi energy (states/eV per atom): 1.04
Distance to the lowest polymorph of the same formula (kJ/mol of atoms): 22.6
V (Å³ per atom): 29.3
Space group: No. 221

Lattice parameters (Å, degrees): 5.2702 5.2702 5.2702 90.00 90.00 90.00
Element x y z (fractional)
Pm 0.0000 0.5000 0.0000
Pm 0.0000 0.0000 0.5000
Pm 0.5000 0.0000 0.0000
Co 0.0000 0.0000 0.0000
Te 0.5000 0.5000 0.5000


(2)
A relaxed PSe3I crystal. Source: Alexandria via LeMat-Bulk, functional PBE.

DOS at the Fermi energy (states/eV per atom): 1.32
Distance to the lowest polymorph of the same formula (kJ/mol of atoms): 121.6
V (Å³ per atom): 31.7
Space group: No. 221

Lattice parameters (Å, degrees): 5.4133 5.4133 5.4133 90.00 90.00 90.00
Site moments in Bohr magnetons follow the coordinates.
Element x y z (fractional)
Se 0.0000 0.5000 0.0000  -0.05
Se 0.0000 0.0000 0.5000  -0.11
Se 0.5000 0.0000 0.0000  -0.06
P 0.5000 0.5000 0.5000  0.83
I 0.0000 0.0000 0.0000  0.01


(3)
A relaxed Ag2TeRu crystal. Source: Alexandria via LeMat-Bulk, functional PBE.

Total energy (eV/atom): -4.107
DOS at the Fermi energy (states/eV per atom): 1.02
V (Å³ per atom): 18.4
Space group: No. 216

Lattice parameters (Å, degrees): 4.7007 4.7007 4.7007 60.00 60.00 60.00
Site moments in Bohr magnetons follow the coordinates.
Element x y z (fractional)
Ag 0.0000 0.0000 0.0000  0.01
Ag 0.2500 0.2500 0.2500  0.01
Te 0.7500 0.7500 0.7500  0.01
Ru 0.5000 0.5000 0.5000  0.44


(4)
A relaxed RbTaCr3 crystal. Source: Alexandria via LeMat-Bulk, functional PBE.

DOS at the Fermi energy (states/eV per atom): 0.86
Energy of formation from the pure elements (eV per atom): 2.824
Distance to the lowest polymorph of the same formula (kJ/mol of atoms): 123.0
V (Å³ per atom): 20.0
Space group: No. 221

Lattice parameters (Å, degrees): 4.6420 4.6420 4.6420 90.00 90.00 90.00
Site moments in Bohr magnetons follow the coordinates.
Element x y z (fractional)
Cr 0.0000 0.5000 0.0000  3.17
Cr 0.5000 0.0000 0.0000  2.96
Cr 0.0000 0.0000 0.5000  3.03
Ta 0.5000 0.5000 0.5000  -1.10
Rb 0.0000 0.0000 0.0000  0.17